{"formula": "Nd4Dy8Pu", "functional": "PBE-GGA", "state": "optimized geometry", "lattice": [[-3.298, 4.826, -5.140], [-6.849, -0.911, 3.583], [1.658, 6.026, 4.639]], "species": ["Nd", "Nd", "Nd", "Nd", "Dy", "Dy", "Dy", "Dy", "Dy", "Dy", "Dy", "Dy", "Pu"], "frac_coords": [[0.000, 0.500, 0.500], [0.500, 0.000, 0.500], [0.500, 0.500, 0.000], [0.000, 0.000, 0.000], [0.755, 0.243, 0.243], [0.243, 0.243, 0.755], [0.243, 0.755, 0.243], [0.244, 0.244, 0.244], [0.757, 0.245, 0.757], [0.757, 0.757, 0.245], [0.245, 0.757, 0.757], [0.756, 0.756, 0.756], [0.500, 0.500, 0.500]], "delta_e_f_ev_per_atom": 0.5365, "volume_a3_per_fu": 471.5}

{"formula": "KCa2PmCl8", "functional": "PBE-GGA", "state": "optimized geometry", "lattice": [[6.700, -0.008, -0.004], [0.042, 6.443, -0.007], [0.006, 0.010, 8.685]], "species": ["Cl", "Cl", "Cl", "Cl", "Cl", "Cl", "Cl", "Cl", "K", "Ca", "Ca", "Pm"], "frac_coords": [[0.325, 0.273, 0.000], [0.825, 0.236, 0.779], [0.675, 0.727, 0.000], [0.175, 0.764, 0.779], [0.360, 0.282, 0.500], [0.825, 0.236, 0.221], [0.640, 0.718, 0.500], [0.175, 0.764, 0.221], [0.000, 0.000, 0.500], [0.500, 0.500, 0.255], [0.500, 0.500, 0.745], [0.000, 0.000, 0.000]], "formation_energy_uncorrected_mev_per_atom": -2270, "volume_a3_per_fu": 375.0}

{"formula": "SiHg2F", "functional": "PBE-GGA", "state": "optimized geometry", "lattice": [[-0.722, 5.500, 1.140], [-4.541, -1.249, 3.144], [1.069, 1.551, 7.259]], "species": ["Si", "Si", "F", "F", "Hg", "Hg", "Hg", "Hg"], "frac_coords": [[0.750, 0.250, 0.500], [0.000, 0.000, 0.000], [0.250, 0.750, 0.500], [0.500, 0.500, 0.000], [0.628, 0.125, 0.250], [0.375, 0.372, 0.750], [0.875, 0.878, 0.750], [0.122, 0.625, 0.250]], "formation_energy_uncorrected_mev_per_atom": -249, "volume_a3_per_fu": 101.7, "polymorph_energy_mev_per_atom": 0}

{"formula": "Sr2ZnHg8", "functional": "PBE-GGA", "state": "optimized geometry", "lattice": [[4.996, 0.000, -1.510], [-0.710, 6.596, -2.348], [0.018, -0.044, 9.077]], "species": ["Hg", "Hg", "Hg", "Hg", "Hg", "Hg", "Hg", "Hg", "Sr", "Sr", "Zn"], "frac_coords": [[0.631, 0.867, 0.262], [0.392, 0.597, 0.783], [0.608, 0.403, 0.217], [0.160, 0.159, 0.320], [0.005, 0.730, 0.009], [0.840, 0.841, 0.680], [0.995, 0.270, 0.991], [0.369, 0.133, 0.738], [0.205, 0.692, 0.411], [0.795, 0.308, 0.589], [0.500, 0.000, 0.000]], "delta_e_f_ev_per_atom": -0.2734, "volume_a3_per_fu": 298.7}